1 | Compound: Y2NiI
Source: Alexandria via LeMat-Bulk
Functional: PBE-GGA
Structure: optimized geometry

Cell: 5.166 5.166 5.166 Å, 60.00 60.00 60.00°
Atoms (fractional coordinates):
Y 0.250 0.250 0.250
Y 0.750 0.750 0.750
Ni 0.000 0.000 0.000
I 0.500 0.500 0.500


2 | Compound: Y2NiI
Source: Alexandria via LeMat-Bulk
Functional: PBE-GGA
Structure: optimized geometry

Cell: 10.359 10.359 10.359 Å, 19.87 19.87 19.87°
Atoms (fractional coordinates):
Y 0.083 0.083 0.083
Y 0.917 0.917 0.917
Ni 0.000 0.000 0.000
I 0.500 0.500 0.500


3 | Compound: Y2NiI
Source: Alexandria via LeMat-Bulk
Functional: PBE-GGA
Structure: optimized geometry

Cell: 6.621 6.621 6.621 Å, 109.49 109.49 109.43°
Atoms (fractional coordinates):
Y 0.068 0.125 0.443
Y 0.375 0.932 0.057
Y 0.682 0.625 0.557
Y 0.875 0.318 0.943
Ni 0.000 0.000 0.000
Ni 0.750 0.250 0.500
I 0.250 0.750 0.500
I 0.500 0.500 0.000


Which one sits at the top of the stability order? 3 does.